Computed, not measured: a relaxed Y4Ho3Th5 crystal at the PBE-GGA level of DFT.

Cell: 5.9672 8.5144 9.6427 Å, 61.50 71.98 69.49°
Closest atoms and distances in Å follow each position.
Sites, in units of the cell vectors:
1 Y 0.2099 0.3104 0.2699  2 Ho 3.06-3.23, 2 Th 3.23-3.38, 1 Y 3.34
2 Y 0.7901 0.6896 0.7301  2 Ho 3.06-3.23, 2 Th 3.23-3.38, 1 Y 3.34
3 Y 0.7920 0.0457 0.3704  5 Y 3.34-3.69, 2 Th 3.60-3.67, 2 Ho 3.63
4 Y 0.2080 0.9543 0.6296  5 Y 3.34-3.69, 2 Th 3.60-3.67, 2 Ho 3.63
5 Ho 0.0000 0.5000 0.5000  2 Th 2.98, 2 Y 3.06
6 Ho 0.4285 0.9502 0.1928  1 Y 3.23, 1 Ho 3.29, 2 Th 3.53-3.61
7 Ho 0.5715 0.0498 0.8072  1 Y 3.23, 1 Ho 3.29, 2 Th 3.53-3.61
8 Th 0.5000 0.5000 0.5000  2 Ho 2.98
9 Th 0.9170 0.2265 0.9395  4 Th 3.31-3.51, 2 Y 3.38-3.60, 1 Ho 3.70
10 Th 0.3287 0.4586 0.8839  3 Y 3.23-3.48, 4 Th 3.40-3.51, 1 Ho 3.61
11 Th 0.0830 0.7735 0.0605  4 Th 3.31-3.51, 2 Y 3.38-3.60, 1 Ho 3.70
12 Th 0.6713 0.5414 0.1161  3 Y 3.23-3.48, 4 Th 3.40-3.51, 1 Ho 3.61

Values from the calculation:
M_tot in Bohr magnetons per cell: 0.000
Space-group type: No. 12
Total DFT energy (no corrections) in Ry per atom: -0.44952



Computed, not measured: a relaxed YHoTh3 crystal at the PBE-GGA level of DFT.

Cell: 3.5079 8.7885 8.7885 Å, 139.78 88.37 88.37°
Closest atoms and distances in Å follow each position.
Sites, in units of the cell vectors:
1 Th 0.0000 0.2219 0.7781  4 Th 3.24-3.51, 2 Y 3.29
2 Th 0.7166 0.1246 0.3631  6 Th 3.24-3.51, 1 Y 3.33
3 Th 0.2834 0.6369 0.8754  6 Th 3.24-3.51, 1 Y 3.33
4 Y 0.5000 0.0534 0.9466  4 Th 3.29-3.33, 4 Ho 3.42-3.67, 2 Y 3.51
5 Ho 0.0000 0.5912 0.4088  4 Y 3.42-3.67, 2 Ho 3.51, 2 Th 3.71

Values from the calculation:
M_tot in Bohr magnetons per cell: 0.000
Space-group type: No. 5
Energy above the lowest structure with this stoichiometry in meV/atom: 0



Computed, not measured: a relaxed Y12Ho6Th crystal at the PBE-GGA level of DFT.

Cell: 8.5443 8.5443 8.5443 Å, 88.29 88.29 88.29°
Closest atoms and distances in Å follow each position.
Sites, in units of the cell vectors:
1 Ho 0.2540 0.0918 0.6921  6 Y 3.29-3.58, 1 Th 3.45, 2 Ho 3.46
2 Ho 0.9082 0.3079 0.7460  6 Y 3.29-3.58, 1 Th 3.45, 2 Ho 3.46
3 Ho 0.7460 0.9082 0.3079  6 Y 3.29-3.58, 1 Th 3.45, 2 Ho 3.46
4 Ho 0.6921 0.2540 0.0918  6 Y 3.29-3.58, 1 Th 3.45, 2 Ho 3.46
5 Ho 0.0918 0.6921 0.2540  6 Y 3.29-3.58, 1 Th 3.45, 2 Ho 3.46
6 Ho 0.3079 0.7460 0.9082  6 Y 3.29-3.58, 1 Th 3.45, 2 Ho 3.46
7 Y 0.4577 0.5616 0.2232  3 Ho 3.29-3.45, 6 Y 3.33-3.57
8 Y 0.5616 0.2232 0.4577  3 Ho 3.29-3.45, 6 Y 3.33-3.57
9 Y 0.3524 0.0092 0.2045  4 Y 3.45-3.55, 4 Ho 3.47-3.72, 1 Th 3.53
10 Y 0.7955 0.6476 0.9908  4 Y 3.45-3.55, 4 Ho 3.47-3.72, 1 Th 3.53
11 Y 0.9908 0.7955 0.6476  4 Y 3.45-3.55, 4 Ho 3.47-3.72, 1 Th 3.53
12 Y 0.5423 0.4384 0.7768  3 Ho 3.29-3.45, 6 Y 3.33-3.57
13 Y 0.6476 0.9908 0.7955  4 Y 3.45-3.55, 4 Ho 3.47-3.72, 1 Th 3.53
14 Y 0.4384 0.7768 0.5423  3 Ho 3.29-3.45, 6 Y 3.33-3.57
15 Y 0.0092 0.2045 0.3524  4 Y 3.45-3.55, 4 Ho 3.47-3.72, 1 Th 3.53
16 Y 0.2232 0.4577 0.5616  3 Ho 3.29-3.45, 6 Y 3.33-3.57
17 Y 0.2045 0.3524 0.0092  4 Y 3.45-3.55, 4 Ho 3.47-3.72, 1 Th 3.53
18 Y 0.7768 0.5423 0.4384  3 Ho 3.29-3.45, 6 Y 3.33-3.57
19 Th 0.0000 0.0000 0.0000  6 Ho 3.45, 6 Y 3.53

Values from the calculation:
M_tot in Bohr magnetons per cell: 0.003
Space-group type: No. 148
Energy above the lowest structure with this stoichiometry in meV/atom: 5



Computed, not measured: a relaxed Y4Ho8Th crystal at the PBE-GGA level of DFT.

Cell: 7.7481 7.7481 7.7481 Å, 90.10 90.10 90.10°
Closest atoms and distances in Å follow each position.
Sites, in units of the cell vectors:
1 Ho 0.2412 0.2412 0.2412  4 Y 3.23-3.40, 1 Th 3.47
2 Ho 0.2409 0.2409 0.7579  4 Y 3.24-3.40, 1 Th 3.47
3 Ho 0.2421 0.7591 0.7591  4 Y 3.24-3.40, 1 Th 3.47
4 Ho 0.7591 0.2421 0.7591  4 Y 3.24-3.40, 1 Th 3.47
5 Ho 0.2409 0.7579 0.2409  4 Y 3.24-3.40, 1 Th 3.47
6 Ho 0.7579 0.2409 0.2409  4 Y 3.24-3.40, 1 Th 3.47
7 Ho 0.7588 0.7588 0.7588  4 Y 3.23-3.40, 1 Th 3.47
8 Ho 0.7591 0.7591 0.2421  4 Y 3.24-3.40, 1 Th 3.47
9 Y 0.0000 0.0000 0.0000  8 Ho 3.23-3.24
10 Y 0.0000 0.5000 0.5000  8 Ho 3.39-3.40
11 Y 0.5000 0.0000 0.5000  8 Ho 3.39-3.40
12 Y 0.5000 0.5000 0.0000  8 Ho 3.39-3.40
13 Th 0.5000 0.5000 0.5000  8 Ho 3.47, 6 Y 3.87

Values from the calculation:
M_tot in Bohr magnetons per cell: 1.580
Space-group type: No. 166
Total DFT energy (no corrections) in Ry per atom: -0.35586



Computed, not measured: a relaxed Y2Ho5Th4 crystal at the PBE-GGA level of DFT.

Cell: 3.5718 9.3584 11.8418 Å, 106.81 81.39 112.38°
Closest atoms and distances in Å follow each position.
Sites, in units of the cell vectors:
1 Ho 0.9603 0.0968 0.2734  3 Th 3.48-3.49, 7 Ho 3.55-3.64, 2 Y 3.63
2 Ho 0.0397 0.9032 0.7266  3 Th 3.48-3.49, 7 Ho 3.55-3.64, 2 Y 3.63
3 Ho 0.5860 0.8137 0.4559  3 Th 3.49-3.52, 7 Ho 3.55-3.64, 2 Y 3.60
4 Ho 0.5000 0.0000 0.0000  4 Th 3.53, 6 Ho 3.57-3.58, 2 Y 3.59
5 Ho 0.4140 0.1863 0.5441  3 Th 3.49-3.52, 7 Ho 3.55-3.64, 2 Y 3.60
6 Th 0.2291 0.5472 0.6353  5 Ho 3.48-3.52, 6 Th 3.54-3.57, 1 Y 3.55
7 Th 0.3158 0.3626 0.0931  4 Y 3.49-3.57, 3 Ho 3.49-3.53, 5 Th 3.56-3.61
8 Th 0.7709 0.4528 0.3647  5 Ho 3.48-3.52, 6 Th 3.54-3.57, 1 Y 3.55
9 Th 0.6842 0.6374 0.9069  4 Y 3.49-3.57, 3 Ho 3.49-3.53, 5 Th 3.56-3.61
10 Y 0.8692 0.2797 0.8201  5 Th 3.49-3.57, 2 Y 3.57, 5 Ho 3.59-3.63
11 Y 0.1308 0.7203 0.1799  5 Th 3.49-3.57, 2 Y 3.57, 5 Ho 3.59-3.63

Values from the calculation:
M_tot in Bohr magnetons per cell: 0.000
Space-group type: No. 2
Energy above the lowest structure with this stoichiometry in meV/atom: 0



Computed, not measured: a relaxed Y8HoTh2 crystal at the PBE-GGA level of DFT.

Cell: 5.9752 8.9922 9.1603 Å, 60.61 74.88 57.91°
Closest atoms and distances in Å follow each position.
Sites, in units of the cell vectors:
1 Y 0.5000 0.2106 0.5788  2 Th 3.35, 1 Ho 3.36, 4 Y 3.58-3.70
2 Y 0.7037 0.5816 0.0000  3 Y 3.03-3.29, 1 Ho 3.28
3 Y 0.5000 0.7894 0.4212  2 Th 3.35, 1 Ho 3.36, 4 Y 3.58-3.70
4 Y 0.8339 0.1003 0.2305  5 Y 3.29-3.68, 2 Th 3.44
5 Y 0.1661 0.6692 0.2305  5 Y 3.29-3.68, 2 Th 3.44
6 Y 0.2963 0.4184 0.0000  3 Y 3.03-3.29, 1 Ho 3.28
7 Y 0.1661 0.8997 0.7695  5 Y 3.29-3.68, 2 Th 3.44
8 Y 0.8339 0.3308 0.7695  5 Y 3.29-3.68, 2 Th 3.44
9 Ho 0.5000 0.0000 0.0000  4 Y 3.28-3.36
10 Th 0.0000 0.3049 0.3902  8 Y 3.35-3.46
11 Th 0.0000 0.6951 0.6098  8 Y 3.35-3.46

Values from the calculation:
M_tot in Bohr magnetons per cell: 0.004
Space-group type: No. 12
Energy above the lowest structure with this stoichiometry in meV/atom: 22



Computed, not measured: a relaxed Y12Ho2Th crystal at the PBE-GGA level of DFT.

Cell: 6.7026 6.7026 24.7278 Å, 90.00 90.00 116.71°
Closest atoms and distances in Å follow each position.
Sites, in units of the cell vectors:
1 Y 0.2506 0.2494 0.0758  2 Th 3.41-3.42, 9 Y 3.52-3.75
2 Y 0.0000 0.0000 0.3258  3 Y 3.13-3.30
3 Y 0.2496 0.7496 0.1267  8 Y 3.37-3.58, 2 Th 3.58-3.60
4 Y 0.2400 0.7400 0.5883  8 Y 3.32-3.66
5 Y 0.7506 0.7494 0.9242  2 Th 3.41-3.42, 9 Y 3.52-3.75
6 Y 0.5000 0.5000 0.1994  3 Y 3.13-3.37
7 Y 0.7505 0.2505 0.1267  8 Y 3.37-3.58, 2 Th 3.58-3.60
8 Y 0.0000 0.0000 0.8006  3 Y 3.13-3.37
9 Y 0.2494 0.2506 0.9242  2 Th 3.41-3.42, 9 Y 3.52-3.75
10 Y 0.7495 0.2495 0.8733  8 Y 3.37-3.58, 2 Th 3.58-3.60
11 Y 0.7360 0.7640 0.5612  5 Y 3.05-3.32
12 Y 0.7600 0.2600 0.5883  8 Y 3.32-3.66
13 Y 0.2640 0.2360 0.5612  5 Y 3.05-3.32
14 Y 0.7640 0.7360 0.4388  5 Y 3.05-3.32
15 Y 0.7400 0.2400 0.4117  8 Y 3.32-3.66
16 Y 0.0000 0.0000 0.6742  3 Y 3.13-3.30
17 Y 0.5000 0.5000 0.8006  3 Y 3.13-3.37
18 Y 0.2504 0.7504 0.8733  8 Y 3.37-3.58, 2 Th 3.58-3.60
19 Y 0.2600 0.7600 0.4117  8 Y 3.32-3.66
20 Y 0.0000 0.0000 0.1994  3 Y 3.13-3.37
21 Y 0.7494 0.7506 0.0758  2 Th 3.41-3.42, 9 Y 3.52-3.75
22 Y 0.5000 0.5000 0.3258  3 Y 3.13-3.30
23 Y 0.2360 0.2640 0.4388  5 Y 3.05-3.32
24 Y 0.5000 0.5000 0.6742  3 Y 3.13-3.30
25 Th 0.0000 0.5000 0.0003  8 Y 3.41-3.60, 2 Th 3.52
26 Th 0.5000 0.0000 0.9997  8 Y 3.41-3.60, 2 Th 3.52
27 Ho 0.0000 0.5000 0.2686  2 Ho 3.52, 10 Y 3.64-3.92
28 Ho 0.0000 0.5000 0.7348  2 Ho 3.52, 10 Y 3.67-3.85
29 Ho 0.5000 0.0000 0.2652  2 Ho 3.52, 10 Y 3.67-3.85
30 Ho 0.5000 0.0000 0.7314  2 Ho 3.52, 10 Y 3.64-3.92

Values from the calculation:
M_tot in Bohr magnetons per cell: 0.009
Space-group type: No. 67
Total DFT energy (no corrections) in Ry per atom: -0.44747



Computed, not measured: a relaxed Y4HoTh crystal at the PBE-GGA level of DFT.

Cell: 5.0664 15.1889 6.1748 Å, 65.67 114.22 90.00°
Closest atoms and distances in Å follow each position.
Sites, in units of the cell vectors:
1 Th 0.5000 0.0000 0.5000  10 Y 3.55-3.58, 2 Ho 3.56
2 Th 0.0000 0.5000 0.5000  10 Y 3.55-3.58, 2 Ho 3.56
3 Y 0.0006 0.8362 0.5013  7 Y 3.51-3.65, 2 Th 3.55, 3 Ho 3.56-3.61
4 Y 0.2474 0.9182 0.9948  7 Y 3.51-3.62, 3 Th 3.55-3.58, 2 Ho 3.59
5 Y 0.7526 0.0818 0.0052  7 Y 3.51-3.62, 3 Th 3.55-3.58, 2 Ho 3.59
6 Y 0.2526 0.5818 0.0052  7 Y 3.51-3.62, 3 Th 3.55-3.58, 2 Ho 3.59
7 Y 0.9994 0.1638 0.4987  7 Y 3.51-3.65, 2 Th 3.55, 3 Ho 3.56-3.61
8 Y 0.7474 0.4182 0.9948  7 Y 3.51-3.62, 3 Th 3.55-3.58, 2 Ho 3.59
9 Y 0.4993 0.6638 0.4987  7 Y 3.51-3.65, 2 Th 3.55, 3 Ho 3.56-3.61
10 Y 0.5007 0.3362 0.5013  7 Y 3.51-3.65, 2 Th 3.55, 3 Ho 3.56-3.61
11 Ho 0.7500 0.7500 0.0000  2 Th 3.56, 10 Y 3.56-3.61
12 Ho 0.2500 0.2500 0.0000  2 Th 3.56, 10 Y 3.56-3.61

Values from the calculation:
M_tot in Bohr magnetons per cell: 0.000
Space-group type: No. 12
Energy above the lowest structure with this stoichiometry in meV/atom: 0